VASP calculation (PBE-GGA) on a relaxed Ac2PmAl9 crystal.

Values from the calculation:
Energy of formation from the pure elements (kJ per mole of atoms): -28.6
Mass density (g cm⁻³): 5.3
Magnetic moment (μB/f.u.): 0.0
Calculated volume (Å³/atom): 22.04

a b c (Å): 9.686 9.686 9.686
angles (deg): 34.82 34.82 34.82
Sites, in units of the cell vectors:
Ac 0.141 0.141 0.141
Ac 0.859 0.859 0.859
Pm 0.000 0.000 0.000
Al 0.073 0.582 0.582
Al 0.335 0.335 0.335
Al 0.418 0.418 0.927
Al 0.418 0.927 0.418
Al 0.500 0.500 0.500
Al 0.582 0.073 0.582
Al 0.582 0.582 0.073
Al 0.665 0.665 0.665
Al 0.927 0.418 0.418